Below is crystalline CuRuCl at its relaxed geometry, with properties calculated at the PBE-GGA level.

## Properties
- Uncorrected formation energy: 718 meV per atom
- Crystal system: hexagonal
- Size of the total moment: 0.6 μB/cell
- Relative energy among the computed polymorphs: 0.265 eV/atom

The structure in POSCAR format:
```
CuRuCl
1.0
-2.3112 -3.3301 -1.1954
4.0497 -0.5205 1.0907
-0.7832 -0.4271 2.7041
Cl Ru Cu
1 1 1
Direct
0.0000 0.0000 0.8338 Cl
0.3333 0.6667 0.8332 Ru
0.6667 0.3333 0.3329 Cu
```